--- A ---
DFT (GGA+U) results for an optimized crystal structure of Li3Ni2SnO6.

a b c (Å): 5.2179 5.2179 5.1965
angles (deg): 99.46 99.46 120.03
Site moments in Bohr magnetons follow the coordinates.
Fractional coordinates of all 12 atoms:
O1 0.9257 0.5897 0.7669  -0.03
O2 0.5897 0.9257 0.7669  -0.03
O3 0.2618 0.2618 0.7694  -0.05
O4 0.4103 0.0743 0.2331  -0.03
O5 0.0743 0.4103 0.2331  -0.03
O6 0.7382 0.7382 0.2306  -0.05
Li1 0.5000 0.5000 0.5000  0.01
Li2 0.1810 0.8190 0.5000  0.01
Li3 0.8190 0.1810 0.5000  0.01
Ni1 0.3334 0.6666 0.0000  1.61
Ni2 0.6666 0.3334 0.0000  1.61
Sn1 0.0000 0.0000 0.0000  0.01

Summary:
spin magnetization: 3.00 Bohr magnetons per cell
theoretical density: 5.07 g/cm³

***

--- B ---
DFT (GGA+U) results for an optimized crystal structure of Li3Ni2SnO6.

a b c (Å): 3.0220 6.0105 6.7346
angles (deg): 102.50 102.97 90.00
Site moments in Bohr magnetons follow the coordinates.
Fractional coordinates of all 12 atoms:
O1 0.5013 0.2597 0.0025  0.03
O2 0.1621 0.6017 0.3243  -0.04
O3 0.8378 0.3983 0.6757  -0.04
O4 0.4987 0.7403 0.9975  0.03
O5 0.8313 0.9321 0.6626  -0.08
O6 0.1687 0.0679 0.3374  -0.08
Ni1 0.6701 0.8447 0.3402  1.60
Ni2 0.3299 0.1553 0.6598  1.60
Li1 0.0000 0.0000 0.0000  0.01
Li2 0.6760 0.3229 0.3519  0.01
Li3 0.3240 0.6771 0.6481  0.01
Sn1 0.0000 0.5000 0.0000  0.00

Summary:
spin magnetization: 3.00 Bohr magnetons per cell
theoretical density: 5.04 g/cm³

***

Least stable structure: B

***

--- A ---
DFT (GGA+U) results for an optimized crystal structure of Li4TiNi3O8.

a b c (Å): 5.8778 10.1100 5.8888
angles (deg): 106.28 119.73 89.58
Site moments in Bohr magnetons follow the coordinates.
Fractional coordinates of all 32 atoms:
Li1 0.7344 0.2499 0.4985  0.00
Li2 0.2636 0.7497 0.4996  0.00
Li3 0.0094 0.5019 0.5124  0.01
Li4 0.9991 0.0016 0.4971  0.01
Li5 0.5018 0.4998 0.5040  0.01
Li6 0.7548 0.7497 0.4994  0.01
Li7 0.2519 0.2514 0.5051  0.01
Li8 0.4949 0.9969 0.4866  0.01
O1 0.1410 0.3780 0.7880  -0.10
O2 0.1135 0.3715 0.2139  -0.09
O3 0.6432 0.8783 0.7519  0.07
O4 0.3717 0.1302 0.7876  -0.07
O5 0.3358 0.1297 0.2244  -0.01
O6 0.6009 0.8755 0.2121  0.12
O7 0.9117 0.6236 0.7891  0.12
O8 0.3824 0.6229 0.7746  0.18
O9 0.8800 0.6132 0.2324  0.00
O10 0.8451 0.1092 0.2197  -0.01
O11 0.8680 0.1191 0.7543  0.10
O12 0.1254 0.8781 0.2255  0.17
O13 0.6123 0.3819 0.7616  0.09
O14 0.3947 0.6228 0.2418  0.13
O15 0.6246 0.3815 0.2466  0.09
O16 0.1409 0.8850 0.7714  0.03
Ni1 0.4895 0.0003 0.9964  1.18
Ni2 0.2439 0.2504 0.0028  1.14
Ni3 0.7545 0.7502 0.9984  1.74
Ni4 0.0104 0.4986 0.0041  1.16
Ni5 0.2568 0.7494 0.0023  2.09
Ni6 0.7428 0.2501 0.9982  1.73
Ti1 0.5272 0.4996 0.0207  0.01
Ti2 0.9738 0.9999 0.9793  0.01

Summary:
spin magnetization: 10.00 Bohr magnetons per cell
theoretical density: 4.38 g/cm³

***

--- B ---
DFT (GGA+U) results for an optimized crystal structure of Li4TiNi3O8.

a b c (Å): 10.2363 10.2363 14.5208
angles (deg): 19.25 19.25 33.12
Site moments in Bohr magnetons follow the coordinates.
Fractional coordinates of all 16 atoms:
O1 0.4889 0.4889 0.2718  -0.06
O2 0.9957 0.4773 0.7633  -0.01
O3 0.4773 0.9957 0.7633  -0.01
O4 0.0043 0.5227 0.2367  -0.01
O5 0.9916 0.9916 0.2730  -0.17
O6 0.5111 0.5111 0.7282  -0.06
O7 0.0084 0.0084 0.7270  -0.17
O8 0.5227 0.0043 0.2367  -0.01
Li1 0.0000 0.0000 0.5000  0.00
Li2 0.0000 0.5000 0.5000  0.01
Li3 0.5000 0.0000 0.5000  0.01
Li4 0.5000 0.5000 0.5000  0.01
Ti1 0.0000 0.0000 0.0000  0.04
Ni1 0.5000 0.5000 0.0001  1.47
Ni2 0.5001 0.0000 0.0000  1.54
Ni3 0.0000 0.5000 0.0000  1.54

Summary:
spin magnetization: 4.00 Bohr magnetons per cell
theoretical density: 4.38 g/cm³

***

Least stable structure: A

***

--- A ---
DFT (GGA+U) results for an optimized crystal structure of Li5Ti2Ni3O10.

a b c (Å): 5.1050 5.1413 7.7337
angles (deg): 108.82 101.30 100.69
Site moments in Bohr magnetons follow the coordinates.
Fractional coordinates of all 20 atoms:
O1 0.9515 0.9170 0.1559  0.10
O2 0.0485 0.0830 0.8441  0.10
O3 0.1356 0.3221 0.5411  0.00
O4 0.6757 0.3035 0.0587  -0.01
O5 0.5641 0.1099 0.3423  0.02
O6 0.2205 0.4862 0.2296  -0.04
O7 0.4359 0.8901 0.6577  0.02
O8 0.8644 0.6779 0.4589  0.00
O9 0.7795 0.5138 0.7704  -0.04
O10 0.3243 0.6965 0.9413  -0.01
Li1 0.7806 0.0997 0.6031  0.01
Li2 0.2194 0.9003 0.3969  0.01
Li3 0.4068 0.3059 0.7960  0.00
Li4 0.5000 0.5000 0.5000  0.00
Li5 0.5932 0.6941 0.2040  0.00
Ti1 0.1042 0.7204 0.6923  0.03
Ti2 0.8958 0.2796 0.3077  0.03
Ni1 0.6968 0.8943 0.8998  1.71
Ni2 0.0000 0.5000 0.0000  1.38
Ni3 0.3032 0.1057 0.1002  1.71

Summary:
spin magnetization: 5.00 Bohr magnetons per cell
theoretical density: 4.27 g/cm³

***

--- B ---
DFT (GGA+U) results for an optimized crystal structure of Li5Ti2Ni3O10.

a b c (Å): 5.6020 5.5184 9.2689
angles (deg): 86.82 124.01 103.09
Site moments in Bohr magnetons follow the coordinates.
Fractional coordinates of all 20 atoms:
Li1 0.0593 0.8965 0.7141  0.00
Li2 0.5033 0.2156 0.9676  0.00
Li3 0.5000 0.5000 0.5000  0.00
Li4 0.9407 0.1035 0.2859  0.00
Li5 0.4967 0.7844 0.0324  0.00
O1 0.9545 0.1873 0.0816  0.04
O2 0.3930 0.6294 0.1995  -0.01
O3 0.0455 0.8127 0.9184  0.04
O4 0.6070 0.3706 0.8005  -0.01
O5 0.4250 0.8017 0.8012  0.02
O6 0.5750 0.1983 0.1988  0.02
O7 0.9156 0.7441 0.2113  0.04
O8 0.1376 0.3814 0.4666  0.00
O9 0.0844 0.2559 0.7887  0.04
O10 0.8624 0.6186 0.5334  0.00
Ni1 0.2260 0.9512 0.1648  1.73
Ni2 0.0000 0.5000 0.0000  1.18
Ni3 0.7740 0.0488 0.8352  1.73
Ti1 0.7677 0.5181 0.3117  0.04
Ti2 0.2323 0.4819 0.6883  0.04

Summary:
spin magnetization: 5.00 Bohr magnetons per cell
theoretical density: 3.36 g/cm³

***

Least stable structure: B